No. 1
The following is a PBE calculation of a relaxed structure of PuNpZn17, from the Alexandria database.

a b c (Å): 6.810 6.810 6.810
angles (deg): 82.69 82.69 82.69
Last column: magnetic moment on the atom in μB.
Element x y z (fractional)
Pu: 0.337 0.337 0.337  5.28
Np: 0.664 0.664 0.664  3.92
Zn: 0.297 0.000 0.703  0.00
Zn: 0.703 0.297 0.000  0.00
Zn: 0.000 0.703 0.297  0.00
Zn: 0.297 0.703 0.000  0.00
Zn: 0.000 0.297 0.703  0.00
Zn: 0.703 0.000 0.297  0.00
Zn: 0.354 0.839 0.354  0.00
Zn: 0.354 0.354 0.839  0.00
Zn: 0.839 0.354 0.354  0.00
Zn: 0.647 0.159 0.647  0.00
Zn: 0.647 0.647 0.159  0.00
Zn: 0.159 0.647 0.647  0.00
Zn: 0.000 0.500 0.000  -0.01
Zn: 0.000 0.000 0.500  -0.01
Zn: 0.500 0.000 0.000  -0.01
Zn: 0.899 0.899 0.899  0.00
Zn: 0.100 0.100 0.100  0.00

**Magnetic moment**: 9.642 μB/f.u.
**Energy of formation**: -0.10 eV per atom


No. 2
The following is a PBE calculation of a relaxed structure of GaPbC2, from the Alexandria database.

a b c (Å): 5.000 5.000 6.150
angles (deg): 66.01 66.01 90.00
Element x y z (fractional)
Pb: 0.000 0.000 0.000
Pb: 0.750 0.250 0.500
C: 0.583 0.125 0.250
C: 0.167 0.625 0.250
C: 0.375 0.417 0.750
C: 0.875 0.833 0.750
Ga: 0.500 0.500 0.000
Ga: 0.250 0.750 0.500

**Excess energy over the best structure of this formula in the dataset**: 0 meV per atom
**Magnetic moment**: 0.000 μB/f.u.
**Energy of formation**: 1.22 eV per atom


No. 3
The following is a PBE calculation of a relaxed structure of In2IrOs, from the Alexandria database.

a b c (Å): 2.978 2.978 9.048
angles (deg): 90.00 90.00 117.90
Element x y z (fractional)
In: 0.000 0.000 0.000
In: 0.000 0.000 0.500
Ir: 0.500 0.500 0.250
Os: 0.500 0.500 0.750

**Magnetic moment**: 0.000 μB/f.u.
**Energy of formation**: 0.49 eV per atom


No. 4
The following is a PBE calculation of a relaxed structure of LuSeF, from the Alexandria database.

a b c (Å): 3.905 3.905 7.960
angles (deg): 90.00 90.00 120.00
Element x y z (fractional)
Lu: 0.667 0.333 0.750
Lu: 0.333 0.667 0.250
Se: 0.000 0.000 0.500
Se: 0.000 0.000 0.000
F: 0.333 0.667 0.750
F: 0.667 0.333 0.250

**Formation energy from raw total energies**: -2.76 eV/atom
**Magnetic moment**: 0.000 μB/f.u.